# 1
An optimized crystal structure of CsAg3P. Source: Alexandria, functional PBE-GGA.

Structure (CIF):
```
data_CsAg3P
_chemical_formula_sum 'Cs1 Ag3 P1'
_cell_length_a 6.421
_cell_length_b 6.421
_cell_length_c 6.421
_cell_angle_alpha 90.00
_cell_angle_beta 90.00
_cell_angle_gamma 90.00
_space_group_name_H-M_alt 'P m -3 m'
_space_group_IT_number 221
_space_group_name_Hall '-P 4 2 3'
loop_
_atom_site_label
_atom_site_type_symbol
_atom_site_fract_x
_atom_site_fract_y
_atom_site_fract_z
Cs1 Cs 0.000 0.000 0.000
Ag1 Ag 0.000 0.000 0.500
P1 P 0.500 0.500 0.500
```

Properties
For the magnetization, the calculation gives 1.0 Bohr magnetons per cell. The formation energy comes out at 1.697 eV/atom. The electronic total energy is -6.33 eV for the cell shown.


# 2
An optimized crystal structure of AlHSe2. Source: Alexandria, functional PBE-GGA.

Structure (CIF):
```
data_AlHSe2
_chemical_formula_sum 'Al4 H4 Se8'
_cell_length_a 3.005
_cell_length_b 20.649
_cell_length_c 5.302
_cell_angle_alpha 90.00
_cell_angle_beta 90.00
_cell_angle_gamma 90.00
_space_group_name_H-M_alt 'C m c m'
_space_group_IT_number 63
_space_group_name_Hall '-C 2c 2'
loop_
_atom_site_label
_atom_site_type_symbol
_atom_site_fract_x
_atom_site_fract_y
_atom_site_fract_z
Al1 Al 0.000 0.050 0.250
H1 H 0.000 0.313 0.250
Se1 Se 0.000 0.070 0.750
Se2 Se 0.000 0.241 0.250
```

Properties
For the magnetization, the calculation gives 0.0 Bohr magnetons per cell. The electronic total energy is -54.53 eV for the cell shown.


# 3
An optimized crystal structure of CaBe2P2O8. Source: Alexandria, functional PBE-GGA.

Structure (CIF):
```
data_CaBe2P2O8
_chemical_formula_sum 'Ca4 Be8 P8 O32'
_cell_length_a 7.871
_cell_length_b 8.871
_cell_length_c 8.421
_cell_angle_alpha 90.00
_cell_angle_beta 90.45
_cell_angle_gamma 90.00
_space_group_name_H-M_alt 'P 1 21/c 1'
_space_group_IT_number 14
_space_group_name_Hall '-P 2ybc'
loop_
_atom_site_label
_atom_site_type_symbol
_atom_site_fract_x
_atom_site_fract_y
_atom_site_fract_z
Ca1 Ca 0.245 0.085 0.387
Be1 Be 0.069 0.079 0.769
Be2 Be 0.430 0.695 0.443
P1 P 0.061 0.698 0.440
P2 P 0.439 0.083 0.764
O1 O 0.004 0.087 0.191
O2 O 0.056 0.637 0.875
O3 O 0.067 0.192 0.921
O4 O 0.240 0.656 0.496
O5 O 0.258 0.080 0.687
O6 O 0.437 0.194 0.905
O7 O 0.438 0.633 0.870
O8 O 0.494 0.074 0.187
```

Properties
For the magnetization, the calculation gives 0.0 Bohr magnetons per cell. Its formation energy from raw total energies is -2.691 eV/atom. The electronic total energy is -379.70 eV for the cell shown.


# 4
An optimized crystal structure of FeRe2NiPt. Source: Alexandria, functional PBE-GGA.

Structure (CIF):
```
data_FeRe2NiPt
_chemical_formula_sum 'Fe1 Re2 Ni1 Pt1'
_cell_length_a 4.737
_cell_length_b 4.737
_cell_length_c 4.571
_cell_angle_alpha 90.00
_cell_angle_beta 90.00
_cell_angle_gamma 90.00
_space_group_name_H-M_alt 'P 4/m m m'
_space_group_IT_number 123
_space_group_name_Hall '-P 4 2'
loop_
_atom_site_label
_atom_site_type_symbol
_atom_site_fract_x
_atom_site_fract_y
_atom_site_fract_z
Fe1 Fe 0.000 0.000 0.000
Re1 Re 0.000 0.500 0.500
Ni1 Ni 0.500 0.500 0.000
Pt1 Pt 0.000 0.000 0.500
```

Properties
For the magnetization, the calculation gives 2.0 Bohr magnetons per cell. The formation energy comes out at 2.270 eV/atom. The electronic total energy is -33.83 eV for the cell shown.


# 5
An optimized crystal structure of Zn2Tc. Source: Alexandria, functional PBE-GGA.

Structure (CIF):
```
data_Zn2Tc
_chemical_formula_sum 'Zn8 Tc4'
_cell_length_a 6.020
_cell_length_b 3.127
_cell_length_c 9.148
_cell_angle_alpha 90.00
_cell_angle_beta 90.00
_cell_angle_gamma 90.00
_space_group_name_H-M_alt 'P n m a'
_space_group_IT_number 62
_space_group_name_Hall '-P 2ac 2n'
loop_
_atom_site_label
_atom_site_type_symbol
_atom_site_fract_x
_atom_site_fract_y
_atom_site_fract_z
Zn1 Zn 0.113 0.250 0.086
Zn2 Zn 0.133 0.250 0.745
Tc1 Tc 0.118 0.250 0.421
```

Properties
For the magnetization, the calculation gives 0.0 Bohr magnetons per cell. The formation energy comes out at 0.076 eV/atom. The electronic total energy is -50.75 eV for the cell shown.


# 6
An optimized crystal structure of Ba5Sr4Ca3. Source: Alexandria, functional PBE-GGA.

Structure (CIF):
```
data_Ba5Sr4Ca3
_chemical_formula_sum 'Ba5 Sr4 Ca3'
_cell_length_a 7.893
_cell_length_b 8.271
_cell_length_c 10.652
_cell_angle_alpha 104.52
_cell_angle_beta 97.49
_cell_angle_gamma 99.76
_space_group_name_H-M_alt 'P -1'
_space_group_IT_number 2
_space_group_name_Hall '-P 1'
loop_
_atom_site_label
_atom_site_type_symbol
_atom_site_fract_x
_atom_site_fract_y
_atom_site_fract_z
Ba1 Ba 0.000 0.000 0.000
Ba2 Ba 0.318 0.495 0.335
Ba3 Ba 0.491 0.747 0.998
Sr1 Sr 0.161 0.258 0.666
Sr2 Sr 0.336 0.000 0.338
Ca1 Ca 0.000 0.500 0.000
Ca2 Ca 0.175 0.762 0.667
```

Properties
For the magnetization, the calculation gives 0.0 Bohr magnetons per cell. The formation energy comes out at 0.022 eV/atom. The electronic total energy is -22.08 eV for the cell shown.


# 7
An optimized crystal structure of LiVCl5. Source: Alexandria, functional PBE-GGA.

Structure (CIF):
```
data_LiVCl5
_chemical_formula_sum 'Li4 V4 Cl20'
_cell_length_a 9.332
_cell_length_b 9.251
_cell_length_c 9.413
_cell_angle_alpha 90.00
_cell_angle_beta 118.02
_cell_angle_gamma 90.00
_space_group_name_H-M_alt 'C 1 2/c 1'
_space_group_IT_number 15
_space_group_name_Hall '-C 2yc'
loop_
_atom_site_label
_atom_site_type_symbol
_atom_site_fract_x
_atom_site_fract_y
_atom_site_fract_z
Li1 Li 0.000 0.052 0.250
V1 V 0.250 0.250 0.000
Cl1 Cl 0.000 0.217 0.750
Cl2 Cl 0.107 0.250 0.139
Cl3 Cl 0.238 0.498 0.990
```

Properties
For the magnetization, the calculation gives 4.0 Bohr magnetons per cell. Its formation energy from raw total energies is -1.209 eV/atom. The electronic total energy is -114.92 eV for the cell shown.


# 8
An optimized crystal structure of KTaBiS4. Source: Alexandria, functional PBE-GGA.

Structure (CIF):
```
data_KTaBiS4
_chemical_formula_sum 'K2 Ta2 Bi2 S8'
_cell_length_a 6.917
_cell_length_b 7.130
_cell_length_c 9.003
_cell_angle_alpha 90.00
_cell_angle_beta 107.82
_cell_angle_gamma 90.00
_space_group_name_H-M_alt 'P 1 21/m 1'
_space_group_IT_number 11
_space_group_name_Hall '-P 2yb'
loop_
_atom_site_label
_atom_site_type_symbol
_atom_site_fract_x
_atom_site_fract_y
_atom_site_fract_z
K1 K 0.222 0.250 0.424
Ta1 Ta 0.293 0.750 0.201
Bi1 Bi 0.218 0.250 0.930
S1 S 0.072 0.750 0.351
S2 S 0.087 0.750 0.943
S3 S 0.499 0.003 0.243
```

Properties
For the magnetization, the calculation gives 0.2 Bohr magnetons per cell. Its formation energy from raw total energies is -0.757 eV/atom. The electronic total energy is -77.28 eV for the cell shown.


# 9
An optimized crystal structure of Th2USe5. Source: Alexandria, functional PBE-GGA.

Structure (CIF):
```
data_Th2USe5
_chemical_formula_sum 'Th4 U2 Se10'
_cell_length_a 8.030
_cell_length_b 12.823
_cell_length_c 4.096
_cell_angle_alpha 90.00
_cell_angle_beta 90.00
_cell_angle_gamma 90.00
_space_group_name_H-M_alt 'P b a m'
_space_group_IT_number 55
_space_group_name_Hall '-P 2 2ab'
loop_
_atom_site_label
_atom_site_type_symbol
_atom_site_fract_x
_atom_site_fract_y
_atom_site_fract_z
Th1 Th 0.027 0.178 0.000
U1 U 0.000 0.500 0.500
Se1 Se 0.000 0.000 0.500
Se2 Se 0.170 0.392 0.000
Se3 Se 0.181 0.698 0.500
```

Properties
For the magnetization, the calculation gives 5.9 Bohr magnetons per cell. Its formation energy from raw total energies is -1.467 eV/atom. The electronic total energy is -110.57 eV for the cell shown.


# 10
An optimized crystal structure of Ta2CrPb. Source: Alexandria, functional PBE-GGA.

Structure (CIF):
```
data_Ta2CrPb
_chemical_formula_sum 'Ta6 Cr3 Pb3'
_cell_length_a 3.1514
_cell_length_b 3.1514
_cell_length_c 26.9570
_cell_angle_alpha 90.00
_cell_angle_beta 90.00
_cell_angle_gamma 120.00
_space_group_name_H-M_alt 'R 3 m'
_space_group_IT_number 160
_space_group_name_Hall 'R 3 -2"'
loop_
_atom_site_label
_atom_site_type_symbol
_atom_site_fract_x
_atom_site_fract_y
_atom_site_fract_z
Ta1 Ta 0.0000 0.0000 0.0000
Ta2 Ta 0.0000 0.0000 0.2513
Cr1 Cr 0.0000 0.0000 0.7361
Pb1 Pb 0.0000 0.0000 0.4901
```

Properties
For the magnetization, the calculation gives 4.7 Bohr magnetons per cell. The formation energy comes out at 0.546 eV/atom. The electronic total energy is -104.56 eV for the cell shown.


# 11
An optimized crystal structure of LiHg2Ge. Source: Alexandria, functional PBE-GGA.

Structure (CIF):
```
data_LiHg2Ge
_chemical_formula_sum 'Li1 Hg2 Ge1'
_cell_length_a 3.641
_cell_length_b 3.641
_cell_length_c 6.193
_cell_angle_alpha 90.00
_cell_angle_beta 90.00
_cell_angle_gamma 90.00
_space_group_name_H-M_alt 'P 4/m m m'
_space_group_IT_number 123
_space_group_name_Hall '-P 4 2'
loop_
_atom_site_label
_atom_site_type_symbol
_atom_site_fract_x
_atom_site_fract_y
_atom_site_fract_z
Li1 Li 0.000 0.000 0.000
Hg1 Hg 0.500 0.500 0.240
Ge1 Ge 0.000 0.000 0.500
```

Properties
For the magnetization, the calculation gives 0.0 Bohr magnetons per cell. The formation energy comes out at -0.059 eV/atom. The electronic total energy is -7.37 eV for the cell shown.